Compound: PrDy2Sb
Source: the Alexandria database
Functional: PBE
Structure: relaxed

Cell lengths 4.141, 6.543, 9.675 Å; angles 90.00, 90.00, 108.45 degrees
Last column: magnetic moment on the atom in μB.
Element x y z (fractional)
Pr 0.944 0.887 0.250  0.11
Dy 0.362 0.724 0.541  0.12
Pr 0.056 0.113 0.750  0.11
Sb 0.764 0.528 0.750  0.00
Sb 0.236 0.472 0.250  0.00
Dy 0.638 0.276 0.459  0.12
Dy 0.362 0.724 0.959  0.12
Dy 0.638 0.276 0.041  0.12

Values from the calculation:
Spin magnetization, μB per formula unit: 0.63
Final energy, eV/atom: -5.0913
Excess energy over the best structure of this formula in the dataset, eV/f.u.: 0.00
Crystal system: orthorhombic